# Mg3Sb (PBE, optimized geometry)
data_Mg3Sb
_space_group_name_H-M_alt 'I m m 2'
_space_group_IT_number 44
_space_group_name_Hall 'I 2 -2'
_cell_length_a 3.300
_cell_length_b 10.527
_cell_length_c 5.437
_cell_angle_alpha 90.00
_cell_angle_beta 90.00
_cell_angle_gamma 90.00
loop_
_atom_site_label
_atom_site_type_symbol
_atom_site_fract_x
_atom_site_fract_y
_atom_site_fract_z
Mg1 Mg 0.000 0.000 0.000
Mg2 Mg 0.000 0.248 0.665
Sb1 Sb 0.000 0.500 0.993
# Magnetic moment in μB per cell: 0.000
# Electronic total energy in eV/atom: -2.30
# Formation energy (no corrections) in meV/atom: -77
# DOS at the Fermi energy in states/eV per cell: 3.042
# Energy above the lowest structure with this stoichiometry in meV/atom: 96